CaPr4Cd5: relaxed, PBE.

```
10
Lattice="-1.063 -3.662 0.629 2.316 -0.142 3.090 -14.668 6.193 11.279" Properties=species:S:1:pos:R:3 pbc="T T T"
Ca 0.000 0.000 0.000
Pr -2.923 1.234 2.248
Pr -5.854 2.472 4.501
Pr -8.814 3.721 6.778
Pr -11.745 4.959 9.032
Cd -0.836 -1.284 2.984
Cd -3.772 -0.044 5.242
Cd -6.707 1.195 7.499
Cd -9.642 2.434 9.756
Cd -12.579 3.674 12.014
```

SG ... No. 123
Formation energy ... -329.6 meV/atom
Total DFT energy (no corrections) ... -2.899 eV/atom
Crystal system ... tetragonal



Sc2CSe: relaxed, PBE.

```
4
Lattice="-2.487 2.153 1.231 -0.420 -1.571 -3.113 -0.951 -5.676 2.991" Properties=species:S:1:pos:R:3 pbc="T T T"
Sc -0.145 -0.253 0.146
Sc -3.027 -1.217 1.024
C -1.796 -1.521 -0.972
Se -2.062 -3.573 2.080
```

SG ... No. 166
Total DFT energy (no corrections) ... -7.507 eV/atom
Crystal system ... trigonal



> The highest total DFT energy (no corrections) belongs to which entry?

CaPr4Cd5



> Number 1 is which compound?

CaPr4Cd5



> Number 1 is which compound?

CaPr4Cd5